Entry 1:
YMnMoIr2 | GGA-PBE | relaxed

Properties
- calculated formation energy (eV per atom) = 2.656
- raw total energy (eV per atom) = -6.181

Unit cell a=4.8744 b=4.8744 c=4.7904 alpha=90.00 beta=90.00 gamma=90.00
Closest atoms and distances in Å follow each position.
Space group P4/mmm (No. 123)
Unique sites:
Y 0.0000 0.0000 0.0000 [1 per cell]  2 Mo 2.40, 4 Ir 2.44
Mn 0.5000 0.5000 0.5000 [1 per cell]  8 Ir 3.42, 4 Mo 3.45
Mo 0.0000 0.0000 0.5000 [1 per cell]  2 Y 2.40
Ir 0.0000 0.5000 0.0000 [2 per cell]  2 Y 2.44

---

Entry 2:
MnZnMoIr | GGA-PBE | relaxed

Properties
- calculated formation energy (eV per atom) = -0.006
- raw total energy (eV per atom) = -7.540

Unit cell a=6.0495 b=6.0495 c=6.0495 alpha=90.00 beta=90.00 gamma=90.00
Closest atoms and distances in Å follow each position.
Space group F-43m (No. 216)
Unique sites:
Mn 0.0000 0.0000 0.0000 [4 per cell]  4 Mo 2.62, 4 Zn 2.62
Zn 0.2500 0.2500 0.7500 [4 per cell]  4 Mn 2.62, 4 Ir 2.62
Mo 0.2500 0.2500 0.2500 [4 per cell]  4 Ir 2.62, 4 Mn 2.62
Ir 0.0000 0.0000 0.5000 [4 per cell]  4 Zn 2.62, 4 Mo 2.62

---

Entry 3:
Mn2IrN | GGA-PBE | relaxed

Properties
- raw total energy (eV per atom) = -9.012

Unit cell a=2.6073 b=2.6322 c=12.1225 alpha=90.00 beta=90.00 gamma=90.00
Closest atoms and distances in Å follow each position.
Space group Amm2 (No. 38)
Unique sites:
Mn 0.0000 0.0000 0.0000 [2 per cell]  4 N 2.00
Mn 0.0000 0.0000 0.3149 [2 per cell]  2 N 1.97
Ir 0.5000 0.0000 0.6716 [2 per cell]  8 Mn 2.54-2.79, 4 Ir 2.61-2.63
N 0.5000 0.0000 0.4369 [2 per cell]  6 Mn 1.97-2.00

---

Entry 4:
Mn2IrN | GGA-PBE | relaxed

Properties
- raw total energy (eV per atom) = -8.878

Unit cell a=2.6510 b=2.6510 c=21.5652 alpha=90.00 beta=90.00 gamma=120.00
Closest atoms and distances in Å follow each position.
Space group R3m (No. 160, hexagonal axes)
Unique sites:
Mn 0.0000 0.0000 0.0000 [3 per cell]  3 N 1.89
Mn 0.0000 0.0000 0.4261 [3 per cell]  9 Mn 2.52-2.65, 3 Ir 2.54
Ir 0.0000 0.0000 0.1867 [3 per cell]  1 N 2.05
N 0.0000 0.0000 0.2820 [3 per cell]  3 Mn 1.89, 1 Ir 2.05

---

Entry 5:
Mn2IrN | GGA-PBE | relaxed

Properties
- raw total energy (eV per atom) = -8.614

Unit cell a=4.8273 b=4.8273 c=9.0265 alpha=90.00 beta=90.00 gamma=90.00
Closest atoms and distances in Å follow each position.
Space group I-42d (No. 122)
Unique sites:
Mn 0.1661 0.2500 0.1250 [8 per cell]  2 N 1.84
Ir 0.0000 0.0000 0.5000 [4 per cell]  4 Mn 2.31
N 0.0000 0.0000 0.0000 [4 per cell]  4 Mn 1.84

---

Entry 6:
Mn2IrN | GGA-PBE | relaxed

Properties
- raw total energy (eV per atom) = -9.013

Unit cell a=2.7968 b=2.7968 c=11.9348 alpha=90.00 beta=90.00 gamma=90.00
Closest atoms and distances in Å follow each position.
Space group I-4m2 (No. 119)
Unique sites:
Mn 0.0000 0.0000 0.1483 [4 per cell]  2 N 1.85
Ir 0.0000 0.0000 0.5000 [2 per cell]  8 Mn 2.65, 4 Ir 2.80
N 0.0000 0.5000 0.2500 [2 per cell]  4 Mn 1.85

---

Entry 7:
MnIr2N | GGA-PBE | relaxed

Properties
- raw total energy (eV per atom) = -8.069

Unit cell a=4.8965 b=4.8965 c=10.0083 alpha=90.00 beta=90.00 gamma=90.00
Closest atoms and distances in Å follow each position.
Space group I-42d (No. 122)
Unique sites:
Mn 0.0000 0.0000 0.0000 [4 per cell]  4 Ir 2.31
Ir 0.1924 0.2500 0.6250 [8 per cell]  2 N 1.99
N 0.0000 0.0000 0.5000 [4 per cell]  4 Ir 1.99

---

Entry 8:
Mn2IrN | GGA-PBE | relaxed

Properties
- raw total energy (eV per atom) = -8.838

Unit cell a=2.6577 b=2.6577 c=21.7262 alpha=90.00 beta=90.00 gamma=120.00
Closest atoms and distances in Å follow each position.
Space group R3m (No. 160, hexagonal axes)
Unique sites:
Mn 0.0000 0.0000 0.0000 [3 per cell]  3 N 1.88
Mn 0.0000 0.0000 0.2392 [3 per cell]  9 Mn 2.56-2.66, 3 Ir 2.56
Ir 0.0000 0.0000 0.4782 [3 per cell]  1 N 2.06
N 0.0000 0.0000 0.3834 [3 per cell]  3 Mn 1.88, 1 Ir 2.06

---

Entry 9:
MnIrN3 | GGA-PBE | relaxed

Properties
- raw total energy (eV per atom) = -7.235

Unit cell a=3.8537 b=3.8537 c=3.8537 alpha=90.00 beta=90.00 gamma=90.00
Closest atoms and distances in Å follow each position.
Space group Pm-3m (No. 221)
Unique sites:
Mn 0.0000 0.0000 0.0000 [1 per cell]  12 N 2.72
Ir 0.5000 0.5000 0.5000 [1 per cell]  6 N 1.93
N 0.0000 0.5000 0.5000 [3 per cell]  2 Ir 1.93

---

Entry 10:
Mn2IrN | GGA-PBE | relaxed

Properties
- raw total energy (eV per atom) = -9.140

Unit cell a=2.6781 b=2.6781 c=6.6445 alpha=90.00 beta=90.00 gamma=120.00
Closest atoms and distances in Å follow each position.
Space group P-6m2 (No. 187)
Unique sites:
Mn 0.0000 0.0000 0.1845 [2 per cell]  3 N 1.97
Ir 0.6667 0.3333 0.5000 [1 per cell]  6 Mn 2.61, 6 Ir 2.68
N 0.6667 0.3333 0.0000 [1 per cell]  6 Mn 1.97

---

Entry 11:
Mn2IrN | GGA-PBE | relaxed

Properties
- raw total energy (eV per atom) = -9.052

Unit cell a=2.7402 b=2.7402 c=6.5373 alpha=90.00 beta=90.00 gamma=120.00
Closest atoms and distances in Å follow each position.
Space group P-3m1 (No. 164)
Unique sites:
Mn 0.3333 0.6667 0.1742 [2 per cell]  3 N 1.95
Ir 0.0000 0.0000 0.5000 [1 per cell]  6 Mn 2.65, 6 Ir 2.74
N 0.0000 0.0000 0.0000 [1 per cell]  6 Mn 1.95

---

Entry 12:
Mn2IrN | GGA-PBE | relaxed

Properties
- raw total energy (eV per atom) = -9.099

Unit cell a=2.8013 b=2.8013 c=19.5404 alpha=90.00 beta=90.00 gamma=120.00
Closest atoms and distances in Å follow each position.
Space group R-3m (No. 166, hexagonal axes)
Unique sites:
Mn 0.0000 0.0000 0.2242 [6 per cell]  3 N 1.97
Ir 0.0000 0.0000 0.0000 [3 per cell]  6 Mn 2.68, 6 Ir 2.80
N 0.0000 0.0000 0.5000 [3 per cell]  6 Mn 1.97

---

Entry 13:
MnIr3N | GGA-PBE | relaxed

Properties
- energy relative to the lowest polymorph listed for this composition (meV/atom) = 0
- raw total energy (eV per atom) = -8.316

Unit cell a=4.0893 b=4.0893 c=4.0893 alpha=90.00 beta=90.00 gamma=90.00
Closest atoms and distances in Å follow each position.
Space group Pm-3m (No. 221)
Unique sites:
Mn 0.0000 0.0000 0.0000 [1 per cell]  12 Ir 2.89
Ir 0.0000 0.5000 0.5000 [3 per cell]  2 N 2.04
N 0.5000 0.5000 0.5000 [1 per cell]  6 Ir 2.04

---

Entry 14:
Mn2IrN | GGA-PBE | relaxed

Properties
- raw total energy (eV per atom) = -9.112

Unit cell a=2.6681 b=2.6681 c=20.2229 alpha=90.00 beta=90.00 gamma=120.00
Closest atoms and distances in Å follow each position.
Space group R3m (No. 160, hexagonal axes)
Unique sites:
Mn 0.0000 0.0000 0.0000 [3 per cell]  3 N 1.99
Mn 0.0000 0.0000 0.1217 [3 per cell]  3 N 1.96
Ir 0.0000 0.0000 0.5595 [3 per cell]  6 Mn 2.61-2.66, 6 Ir 2.67
N 0.0000 0.0000 0.3953 [3 per cell]  6 Mn 1.96-1.99

---

Entry 15:
MnIrN3 | GGA-PBE | relaxed

Properties
- raw total energy (eV per atom) = -7.175

Unit cell a=3.6493 b=3.6493 c=3.6493 alpha=90.00 beta=90.00 gamma=90.00
Closest atoms and distances in Å follow each position.
Space group Pm-3m (No. 221)
Unique sites:
Mn 0.0000 0.0000 0.0000 [1 per cell]  6 N 1.82
Ir 0.5000 0.5000 0.5000 [1 per cell]  12 N 2.58
N 0.0000 0.0000 0.5000 [3 per cell]  2 Mn 1.82

---

Entry 16:
Mn2IrN | GGA-PBE | relaxed

Properties
- raw total energy (eV per atom) = -9.026

Unit cell a=2.8549 b=2.8549 c=11.2697 alpha=90.00 beta=90.00 gamma=90.00
Closest atoms and distances in Å follow each position.
Space group I4mm (No. 107)
Unique sites:
Mn 0.0000 0.0000 0.0000 [2 per cell]  1 N 1.90
Mn 0.0000 0.0000 0.3253 [2 per cell]  4 N 2.02
Ir 0.0000 0.0000 0.6418 [2 per cell]  1 N 2.13
N 0.0000 0.0000 0.8310 [2 per cell]  5 Mn 1.90-2.02, 1 Ir 2.13

---

Entry 17:
Mn2IrN | GGA-PBE | relaxed

Properties
- raw total energy (eV per atom) = -8.916

Unit cell a=2.6599 b=3.7862 c=9.1424 alpha=90.00 beta=90.00 gamma=90.00
Closest atoms and distances in Å follow each position.
Space group Amm2 (No. 38)
Unique sites:
Mn 0.0000 0.0000 0.0000 [2 per cell]  2 N 1.91
Mn 0.5000 0.0000 0.3394 [2 per cell]  2 N 1.90
Ir 0.5000 0.0000 0.6263 [2 per cell]  1 N 2.05
N 0.5000 0.0000 0.8504 [2 per cell]  4 Mn 1.90-1.91, 1 Ir 2.05

---

Entry 18:
MnIr3N | GGA-PBE | relaxed

Properties
- energy relative to the lowest polymorph listed for this composition (meV/atom) = 2049
- raw total energy (eV per atom) = -6.267

Unit cell a=4.4593 b=4.4593 c=4.4593 alpha=90.00 beta=90.00 gamma=90.00
Closest atoms and distances in Å follow each position.
Space group Pm-3m (No. 221)
Unique sites:
Mn 0.0000 0.0000 0.0000 [1 per cell]  6 Ir 2.23
Ir 0.0000 0.0000 0.5000 [3 per cell]  2 Mn 2.23
N 0.5000 0.5000 0.5000 [1 per cell]  12 Ir 3.15

---

Entry 19:
NaMn2IrN | GGA-PBE | relaxed

Properties
- raw total energy (eV per atom) = -4.606

Unit cell a=4.4311 b=4.4311 c=3.6936 alpha=90.00 beta=90.00 gamma=90.00
Closest atoms and distances in Å follow each position.
Space group P4/mmm (No. 123)
Unique sites:
Na 0.0000 0.0000 0.0000 [1 per cell]  2 N 1.85
Mn 0.0000 0.5000 0.0000 [2 per cell]  2 Na 2.22
Ir 0.5000 0.5000 0.5000 [1 per cell]  8 Mn 2.88, 4 N 3.13
N 0.0000 0.0000 0.5000 [1 per cell]  2 Na 1.85